This record from Alexandria via LeMat-Bulk describes a relaxed structure of Cr3CuO. The functional is PBE+U.

Properties
Theoretical density, kg/m3: 6772
Density of states at the Fermi level, states/eV/f.u.: 6.84
Offset from the most stable computed form, meV/atom: 0.0
Final energy, eV/atom: -5.261

Lattice parameters (Å, degrees): 3.8654 3.8654 3.8654 90.00 90.00 90.00
With the nearest neighbours (Å) after each atom.
Space group Pm-3m (No. 221)
Asymmetric unit:
Cr (0.0000, 0.0000, 0.5000) (multiplicity 3)  2 O 1.93
Cu (0.5000, 0.5000, 0.5000) (multiplicity 1)  12 Cr 2.73
O (0.0000, 0.0000, 0.0000) (multiplicity 1)  6 Cr 1.93